Model a:
Computed, not measured: a relaxed structure of Te2AsN at the PBE-GGA level of DFT.

Properties
- Crystal system: trigonal
- Volume: 250.1 Å³/cell

The structure in CIF format:
```
data_Te2AsN
_chemical_formula_sum 'Te6 As3 N3'
_symmetry_space_group_name_H-M 'R -3 m'
_symmetry_Int_Tables_number 166
_symmetry_space_group_name_Hall '-R 3 2"'
_cell_length_a 3.2173
_cell_length_b 3.2173
_cell_length_c 27.8973
_cell_angle_alpha 90.00
_cell_angle_beta 90.00
_cell_angle_gamma 120.00
loop_
_atom_site_label
_atom_site_type_symbol
_atom_site_fract_x
_atom_site_fract_y
_atom_site_fract_z
Te1 Te 0.0000 0.0000 0.1069
As1 As 0.0000 0.0000 0.0000
N1 N 0.0000 0.0000 0.5000
```

=====

Model b:
Computed, not measured: a relaxed structure of Te2AsN at the PBE-GGA level of DFT.

Properties
- Crystal system: tetragonal
- Volume: 370.5 Å³/cell

The structure in CIF format:
```
data_Te2AsN
_chemical_formula_sum 'Te8 As4 N4'
_symmetry_space_group_name_H-M 'I -4 2 d'
_symmetry_Int_Tables_number 122
_symmetry_space_group_name_Hall 'I -4 2bw'
_cell_length_a 6.699
_cell_length_b 6.699
_cell_length_c 8.256
_cell_angle_alpha 90.00
_cell_angle_beta 90.00
_cell_angle_gamma 90.00
loop_
_atom_site_label
_atom_site_type_symbol
_atom_site_fract_x
_atom_site_fract_y
_atom_site_fract_z
Te1 Te 0.187 0.250 0.125
As1 As 0.000 0.000 0.500
N1 N 0.000 0.000 0.000
```

=====

Ranked by calculated energy, most stable first: model b, model a.

=====

Model a:
Computed, not measured: a relaxed structure of TlTe2AsN at the PBE-GGA level of DFT.

Properties
- Crystal system: tetragonal
- Volume: 135.4 Å³/cell

The structure in CIF format:
```
data_TlTe2AsN
_chemical_formula_sum 'Tl1 Te2 As1 N1'
_symmetry_space_group_name_H-M 'P 4/m m m'
_symmetry_Int_Tables_number 123
_symmetry_space_group_name_Hall '-P 4 2'
_cell_length_a 6.173
_cell_length_b 6.173
_cell_length_c 3.554
_cell_angle_alpha 90.00
_cell_angle_beta 90.00
_cell_angle_gamma 90.00
loop_
_atom_site_label
_atom_site_type_symbol
_atom_site_fract_x
_atom_site_fract_y
_atom_site_fract_z
Tl1 Tl 0.000 0.000 0.000
Te1 Te 0.000 0.500 0.500
As1 As 0.500 0.500 0.500
N1 N 0.500 0.500 0.000
```

=====

Model b:
Computed, not measured: a relaxed structure of TlTe2AsN at the PBE-GGA level of DFT.

Properties
- Crystal system: tetragonal
- Volume: 144.0 Å³/cell

The structure in CIF format:
```
data_TlTe2AsN
_chemical_formula_sum 'Tl1 Te2 As1 N1'
_symmetry_space_group_name_H-M 'P 4/m m m'
_symmetry_Int_Tables_number 123
_symmetry_space_group_name_Hall '-P 4 2'
_cell_length_a 5.866
_cell_length_b 5.866
_cell_length_c 4.185
_cell_angle_alpha 90.00
_cell_angle_beta 90.00
_cell_angle_gamma 90.00
loop_
_atom_site_label
_atom_site_type_symbol
_atom_site_fract_x
_atom_site_fract_y
_atom_site_fract_z
Tl1 Tl 0.000 0.000 0.000
Te1 Te 0.000 0.500 0.000
As1 As 0.500 0.500 0.500
N1 N 0.000 0.000 0.500
```

=====

Ranked by calculated energy, most stable first: model a, model b.

=====

Model a:
Computed, not measured: a relaxed structure of VTe2AsN at the PBE-GGA level of DFT.

Properties
- Crystal system: tetragonal
- Volume: 104.7 Å³/cell

The structure in CIF format:
```
data_VTe2AsN
_chemical_formula_sum 'V1 Te2 As1 N1'
_symmetry_space_group_name_H-M 'P 4/m m m'
_symmetry_Int_Tables_number 123
_symmetry_space_group_name_Hall '-P 4 2'
_cell_length_a 5.361
_cell_length_b 5.361
_cell_length_c 3.644
_cell_angle_alpha 90.00
_cell_angle_beta 90.00
_cell_angle_gamma 90.00
loop_
_atom_site_label
_atom_site_type_symbol
_atom_site_fract_x
_atom_site_fract_y
_atom_site_fract_z
V1 V 0.000 0.000 0.000
Te1 Te 0.000 0.500 0.000
As1 As 0.500 0.500 0.500
N1 N 0.000 0.000 0.500
```

=====

Model b:
Computed, not measured: a relaxed structure of VTe2AsN at the PBE-GGA level of DFT.

Properties
- Crystal system: tetragonal
- Volume: 111.8 Å³/cell

The structure in CIF format:
```
data_VTe2AsN
_chemical_formula_sum 'V1 Te2 As1 N1'
_symmetry_space_group_name_H-M 'P 4/m m m'
_symmetry_Int_Tables_number 123
_symmetry_space_group_name_Hall '-P 4 2'
_cell_length_a 5.576
_cell_length_b 5.576
_cell_length_c 3.595
_cell_angle_alpha 90.00
_cell_angle_beta 90.00
_cell_angle_gamma 90.00
loop_
_atom_site_label
_atom_site_type_symbol
_atom_site_fract_x
_atom_site_fract_y
_atom_site_fract_z
V1 V 0.000 0.000 0.000
Te1 Te 0.000 0.500 0.500
As1 As 0.500 0.500 0.500
N1 N 0.500 0.500 0.000
```

=====

Model c:
Computed, not measured: a relaxed structure of VTe2AsN at the PBE-GGA level of DFT.

Properties
- Crystal system: tetragonal
- Volume: 131.9 Å³/cell

The structure in CIF format:
```
data_VTe2AsN
_chemical_formula_sum 'V1 Te2 As1 N1'
_symmetry_space_group_name_H-M 'P 4/m m m'
_symmetry_Int_Tables_number 123
_symmetry_space_group_name_Hall '-P 4 2'
_cell_length_a 5.364
_cell_length_b 5.364
_cell_length_c 4.583
_cell_angle_alpha 90.00
_cell_angle_beta 90.00
_cell_angle_gamma 90.00
loop_
_atom_site_label
_atom_site_type_symbol
_atom_site_fract_x
_atom_site_fract_y
_atom_site_fract_z
V1 V 0.000 0.000 0.000
Te1 Te 0.000 0.500 0.500
As1 As 0.000 0.000 0.500
N1 N 0.500 0.500 0.000
```

=====

Ranked by calculated energy, most stable first: model a, model b, model c.